No. 1
Entry from Alexandria via LeMat-Bulk: an optimized crystal structure of Nb3SnAs (GGA-PBEsol).

Cell and atoms, written as extended XYZ:
```
5
Lattice="4.7286 0.0000 0.0000 0.0000 4.7286 0.0000 0.0000 0.0000 4.7286" Properties=species:S:1:pos:R:3 pbc="T T T"
Nb 0.0000 0.0000 2.3643
Nb 0.0000 2.3643 0.0000
Nb 2.3643 0.0000 0.0000
Sn 2.3643 2.3643 2.3643
As 0.0000 0.0000 0.0000
```

- Spin magnetization: 0.0 μB/f.u.
- VASP energy: -7.84 eV per atom
- Energy relative to the elements: 526 meV per atom
- Symmetry: Pm-3m (221)


No. 2
Entry from Alexandria via LeMat-Bulk: an optimized crystal structure of Sr2NbAs (GGA-PBEsol).

Cell and atoms, written as extended XYZ:
```
8
Lattice="-5.5815 5.5815 2.4872 5.5815 -5.5815 2.4872 5.5815 5.5815 -2.4872" Properties=species:S:1:pos:R:3 pbc="T T T"
Sr -1.0578 2.7907 0.6218
Sr 2.7907 4.5237 1.8654
Sr 1.0578 8.3722 0.6218
Sr -2.7907 6.6392 1.8654
Nb 5.5815 0.0000 1.2436
Nb 0.0000 0.0000 2.4872
As 0.0000 0.0000 0.0000
As 0.0000 5.5815 1.2436
```

- Spin magnetization: 2.9 μB/f.u.
- VASP energy: -4.69 eV per atom
- Energy relative to the elements: 210 meV per atom
- Symmetry: I-42d (122)


No. 3
Entry from Alexandria via LeMat-Bulk: an optimized crystal structure of SrNb2As2 (GGA-PBEsol).

Cell and atoms, written as extended XYZ:
```
5
Lattice="-2.0006 2.0006 6.7123 2.0006 -2.0006 6.7123 2.0006 2.0006 -6.7123" Properties=species:S:1:pos:R:3 pbc="T T T"
Sr 0.0000 0.0000 0.0000
Nb 2.0006 0.0000 3.3561
Nb 0.0000 2.0006 3.3561
As 0.0000 0.0000 5.0974
As 0.0000 0.0000 8.3271
```

- Spin magnetization: 0.0 μB/f.u.
- VASP energy: -7.47 eV per atom
- Energy relative to the elements: -735 meV per atom
- Symmetry: I4/mmm (139)


No. 4
Entry from Alexandria via LeMat-Bulk: an optimized crystal structure of Sr3NbAs (GGA-PBEsol).

Cell and atoms, written as extended XYZ:
```
5
Lattice="5.5199 0.0000 0.0000 0.0000 5.5199 0.0000 0.0000 0.0000 5.5199" Properties=species:S:1:pos:R:3 pbc="T T T"
Sr 0.0000 0.0000 2.7599
Sr 0.0000 2.7599 0.0000
Sr 2.7599 0.0000 0.0000
Nb 0.0000 0.0000 0.0000
As 2.7599 2.7599 2.7599
```

- Spin magnetization: 0.0 μB/f.u.
- VASP energy: -3.42 eV per atom
- Energy relative to the elements: 865 meV per atom
- Symmetry: Pm-3m (221)


No. 5
Entry from Alexandria via LeMat-Bulk: an optimized crystal structure of NbTcAs3 (GGA-PBEsol).

Cell and atoms, written as extended XYZ:
```
5
Lattice="4.7217 0.0000 0.0000 0.0000 4.7217 0.0000 0.0000 0.0000 4.7217" Properties=species:S:1:pos:R:3 pbc="T T T"
Nb 0.0000 0.0000 0.0000
Tc 2.3609 2.3609 2.3609
As 0.0000 2.3609 2.3609
As 2.3609 0.0000 2.3609
As 2.3609 2.3609 0.0000
```

- Spin magnetization: 3.4 μB/f.u.
- VASP energy: -6.59 eV per atom
- Energy relative to the elements: 891 meV per atom
- Symmetry: Pm-3m (221)


No. 6
Entry from Alexandria via LeMat-Bulk: an optimized crystal structure of Nb3Te3As (GGA-PBEsol).

Cell and atoms, written as extended XYZ:
```
14
Lattice="10.3788 0.0000 0.0000 -5.1894 8.9883 0.0000 0.0000 0.0000 3.5273" Properties=species:S:1:pos:R:3 pbc="T T T"
Nb -1.3082 4.5271 0.8818
Nb -0.6147 7.8577 0.8818
Nb 1.9229 5.5917 0.8818
Nb 3.2665 3.3965 2.6455
Nb 5.8040 1.1306 2.6455
Nb 6.4976 4.4612 2.6455
Te -3.1975 6.5154 0.8818
Te 1.1457 2.9614 0.8818
Te 3.1375 0.4885 2.6455
Te 2.0519 8.4997 0.8818
Te 4.0437 6.0268 2.6455
Te 8.3869 2.4729 2.6455
As 0.0000 5.9922 2.6455
As 5.1894 2.9961 0.8818
```

- Spin magnetization: 0.0 μB/f.u.
- VASP energy: -7.46 eV per atom
- Symmetry: P6_3/m (176)


No. 7
Entry from Alexandria via LeMat-Bulk: an optimized crystal structure of NbTeAs3 (GGA-PBEsol).

Cell and atoms, written as extended XYZ:
```
5
Lattice="5.0881 0.0000 0.0000 0.0000 5.0881 0.0000 0.0000 0.0000 5.0881" Properties=species:S:1:pos:R:3 pbc="T T T"
Nb 0.0000 0.0000 0.0000
Te 2.5441 2.5441 2.5441
As 0.0000 2.5441 2.5441
As 2.5441 0.0000 2.5441
As 2.5441 2.5441 0.0000
```

- Spin magnetization: 2.2 μB/f.u.
- VASP energy: -4.48 eV per atom
- Symmetry: Pm-3m (221)


No. 8
Entry from Alexandria via LeMat-Bulk: an optimized crystal structure of Nb12TlTe15As (GGA-PBEsol).

Cell and atoms, written as extended XYZ:
```
29
Lattice="10.5568 0.0000 0.0000 -5.2784 9.1425 0.0000 0.0000 0.0000 7.2161" Properties=species:S:1:pos:R:3 pbc="T T T"
Nb -0.5858 2.0080 1.6812
Nb -0.5858 2.0080 5.5349
Nb -2.1942 6.4997 3.6080
Nb -2.1439 6.5288 0.0000
Nb -3.2465 8.6458 1.6812
Nb -3.2465 8.6458 5.5349
Nb 0.6963 4.0214 0.0000
Nb 0.7466 3.9924 3.6080
Nb 1.4476 7.7348 0.0000
Nb 1.4476 7.7929 3.6080
Nb 3.8324 7.6312 1.6812
Nb 3.8324 7.6312 5.5349
Tl 5.2784 3.0475 0.0000
Te 0.0000 0.0000 3.6080
Te -2.0411 3.6337 0.0000
Te -1.9702 3.5470 3.6080
Te 0.0000 6.0950 1.8241
Te 0.0000 6.0950 5.3920
Te 2.1568 2.4554 1.7824
Te 2.1568 2.4554 5.4337
Te -1.2216 9.0752 3.6080
Te -1.1110 9.0933 0.0000
Te 3.1521 5.5580 0.0000
Te 3.1917 5.6628 3.6080
Te 7.3520 0.6402 1.7824
Te 7.3520 0.6402 5.4337
Te 6.3265 6.0469 1.7824
Te 6.3265 6.0469 5.4337
As 0.0000 0.0000 0.0000
```

- Spin magnetization: 0.0 μB/f.u.
- VASP energy: -7.06 eV per atom
- Symmetry: P-6 (174)


No. 9
Entry from Alexandria via LeMat-Bulk: an optimized crystal structure of NbZnTeAs2 (GGA-PBEsol).

Cell and atoms, written as extended XYZ:
```
5
Lattice="4.9034 0.0000 0.0000 0.0000 4.9034 0.0000 0.0000 0.0000 5.4611" Properties=species:S:1:pos:R:3 pbc="T T T"
Nb 0.0000 0.0000 0.0000
Zn 2.4517 2.4517 2.7306
Te 0.0000 0.0000 2.7306
As 0.0000 2.4517 0.0000
As 2.4517 0.0000 0.0000
```

- Spin magnetization: 0.0 μB/f.u.
- VASP energy: -4.84 eV per atom
- Symmetry: P4/mmm (123)


No. 10
Entry from Alexandria via LeMat-Bulk: an optimized crystal structure of TiNb3As (GGA-PBEsol).

Cell and atoms, written as extended XYZ:
```
5
Lattice="4.6326 0.0000 0.0000 0.0000 4.6326 0.0000 0.0000 0.0000 4.6326" Properties=species:S:1:pos:R:3 pbc="T T T"
Ti 0.0000 0.0000 0.0000
Nb 0.0000 0.0000 2.3163
Nb 0.0000 2.3163 0.0000
Nb 2.3163 0.0000 0.0000
As 2.3163 2.3163 2.3163
```

- Spin magnetization: 0.0 μB/f.u.
- VASP energy: -7.99 eV per atom
- Energy relative to the elements: 1184 meV per atom
- Symmetry: Pm-3m (221)


No. 11
Entry from Alexandria via LeMat-Bulk: an optimized crystal structure of NbTl3As (GGA-PBEsol).

Cell and atoms, written as extended XYZ:
```
5
Lattice="5.3944 0.0000 0.0000 0.0000 5.3944 0.0000 0.0000 0.0000 5.3944" Properties=species:S:1:pos:R:3 pbc="T T T"
Nb 0.0000 0.0000 0.0000
Tl 0.0000 0.0000 2.6972
Tl 0.0000 2.6972 0.0000
Tl 2.6972 0.0000 0.0000
As 2.6972 2.6972 2.6972
```

- Spin magnetization: 0.0 μB/f.u.
- VASP energy: -3.75 eV per atom
- Energy relative to the elements: 1016 meV per atom
- Symmetry: Pm-3m (221)


No. 12
Entry from Alexandria via LeMat-Bulk: an optimized crystal structure of Nb3TlAs (GGA-PBEsol).

Cell and atoms, written as extended XYZ:
```
5
Lattice="4.7458 0.0000 0.0000 0.0000 4.7458 0.0000 0.0000 0.0000 4.7458" Properties=species:S:1:pos:R:3 pbc="T T T"
Nb 0.0000 0.0000 2.3729
Nb 0.0000 2.3729 0.0000
Nb 2.3729 0.0000 0.0000
Tl 2.3729 2.3729 2.3729
As 0.0000 0.0000 0.0000
```

- Spin magnetization: 0.0 μB/f.u.
- VASP energy: -7.39 eV per atom
- Energy relative to the elements: 653 meV per atom
- Symmetry: Pm-3m (221)


No. 13
Entry from Alexandria via LeMat-Bulk: an optimized crystal structure of YNbAs2 (GGA-PBEsol).

Cell and atoms, written as extended XYZ:
```
8
Lattice="-3.0085 3.0085 6.1111 3.0085 -3.0085 6.1111 3.0085 3.0085 -6.1111" Properties=species:S:1:pos:R:3 pbc="T T T"
Y 0.0000 0.0000 0.0000
Y 0.0000 3.0085 3.0555
Nb 3.0085 0.0000 3.0555
Nb 0.0000 0.0000 6.1111
As 1.5043 -1.2623 4.5833
As 1.7463 1.5043 1.5278
As 1.5043 4.2708 -1.5278
As 1.2623 1.5043 7.6389
```

- Spin magnetization: 0.5 μB/f.u.
- VASP energy: -7.23 eV per atom
- Energy relative to the elements: -270 meV per atom
- Symmetry: I-42d (122)


No. 14
Entry from Alexandria via LeMat-Bulk: an optimized crystal structure of Nb2ZnAs (GGA-PBEsol).

Cell and atoms, written as extended XYZ:
```
4
Lattice="0.0000 3.1673 3.1673 3.1673 0.0000 3.1673 3.1673 3.1673 0.0000" Properties=species:S:1:pos:R:3 pbc="T T T"
Nb 1.5837 1.5837 1.5837
Nb 4.7510 4.7510 4.7510
Zn 0.0000 0.0000 0.0000
As 3.1673 3.1673 3.1673
```

- Spin magnetization: 0.0 μB/f.u.
- VASP energy: -7.16 eV per atom
- Energy relative to the elements: -74 meV per atom
- Symmetry: Fm-3m (225)